1.
Below is an optimized crystal structure of PmPuMg4, with properties calculated at the PBE level.

## Properties
total magnetization: 5.9 μB per formula unit
E_tot: -4.2082 eV per atom

abc: 8.5906 8.5906 8.5906
angles: 90.00 90.00 90.00
Last column: nearest neighbours and their distance in Å.
Space group F-43m (No. 216)
Asymmetric unit:
Pm: 0.0000 0.0000 0.0000 [4 per cell]  12 Mg 3.56, 4 Pu 3.72
Pu: 0.2500 0.2500 0.7500 [4 per cell]  12 Mg 3.56, 4 Pm 3.72
Mg: 0.1253 0.1253 0.3747 [16 per cell]  6 Mg 3.03-3.04

2.
Below is an optimized crystal structure of PmPu4Mg, with properties calculated at the PBE level.

## Properties
total magnetization: 23.3 μB per formula unit
E_tot: -10.3083 eV per atom

abc: 8.7317 8.7317 8.7317
angles: 90.00 90.00 90.00
Last column: nearest neighbours and their distance in Å.
Space group F-43m (No. 216)
Asymmetric unit:
Pm: 0.0000 0.0000 0.0000 [4 per cell]  12 Pu 3.62, 4 Mg 3.78
Pu: 0.1245 0.1245 0.3755 [16 per cell]  6 Pu 3.07-3.10
Mg: 0.2500 0.2500 0.7500 [4 per cell]  12 Pu 3.62, 4 Pm 3.78

3.
Below is an optimized crystal structure of PmPu2Mg, with properties calculated at the PBE level.

## Properties
total magnetization: 11.8 μB per formula unit
energy above the lowest structure with this stoichiometry: 42 meV/atom

abc: 3.2656 3.2656 10.4639
angles: 90.00 90.00 90.00
Last column: nearest neighbours and their distance in Å.
Space group P4/mmm (No. 123)
Asymmetric unit:
Pm: 0.0000 0.0000 0.0000 [1 per cell]  4 Pm 3.27, 8 Pu 3.58
Pu: 0.5000 0.5000 0.2610 [2 per cell]  4 Pu 3.27, 4 Mg 3.40, 4 Pm 3.58
Mg: 0.0000 0.0000 0.5000 [1 per cell]  4 Mg 3.27, 8 Pu 3.40

4.
Below is an optimized crystal structure of PmPu2Mg, with properties calculated at the PBE level.

## Properties
total magnetization: 12.5 μB per formula unit
energy above the lowest structure with this stoichiometry: 0 meV/atom

abc: 4.5952 4.5952 5.2692
angles: 90.00 90.00 90.00
Last column: nearest neighbours and their distance in Å.
Space group P4/mmm (No. 123)
Asymmetric unit:
Pm: 0.0000 0.0000 0.0000 [1 per cell]  4 Mg 3.25, 8 Pu 3.50
Pu: 0.0000 0.5000 0.5000 [2 per cell]  4 Pu 3.25, 4 Mg 3.50, 4 Pm 3.50
Mg: 0.5000 0.5000 0.0000 [1 per cell]  4 Pm 3.25, 8 Pu 3.50

5.
Below is an optimized crystal structure of PmPuMg2, with properties calculated at the PBE level.

## Properties
total magnetization: 6.1 μB per formula unit
energy above the lowest structure with this stoichiometry: 0 meV/atom

abc: 3.2686 3.2686 10.1203
angles: 90.00 90.00 90.00
Last column: nearest neighbours and their distance in Å.
Space group P4/mmm (No. 123)
Asymmetric unit:
Pm: 0.0000 0.0000 0.0000 [1 per cell]  4 Pm 3.27, 8 Mg 3.45
Pu: 0.0000 0.0000 0.5000 [1 per cell]  4 Pu 3.27, 8 Mg 3.41
Mg: 0.5000 0.5000 0.2529 [2 per cell]  4 Mg 3.27, 4 Pu 3.41, 4 Pm 3.45

6.
Below is an optimized crystal structure of PmPuMg, with properties calculated at the PBE level.

## Properties
total magnetization: 5.9 μB per formula unit
energy above the lowest structure with this stoichiometry: 43 meV/atom

abc: 3.4294 3.4294 8.5008
angles: 90.00 90.00 120.00
Last column: nearest neighbours and their distance in Å.
Space group P3m1 (No. 156)
Asymmetric unit:
Pm: 0.0000 0.0000 0.0000 [1 per cell]  6 Pm 3.43, 3 Mg 3.45, 3 Pu 3.55
Pu: 0.6667 0.3333 0.3464 [1 per cell]  3 Mg 3.37, 6 Pu 3.43, 3 Pm 3.55
Mg: 0.3333 0.6667 0.6677 [1 per cell]  3 Pu 3.37, 6 Mg 3.43, 3 Pm 3.45